# GGA-PBEsol Sb3W, relaxed
data_Sb3W
_chemical_formula_sum 'Sb3 W1'
_space_group_name_H-M_alt 'P m -3 m'
_space_group_IT_number 221
_space_group_name_Hall '-P 4 2 3'
_cell_length_a 5.224
_cell_length_b 5.224
_cell_length_c 5.224
_cell_angle_alpha 90.00
_cell_angle_beta 90.00
_cell_angle_gamma 90.00
loop_
_atom_site_label
_atom_site_type_symbol
_atom_site_fract_x
_atom_site_fract_y
_atom_site_fract_z
Sb1 Sb 0.000 0.000 0.500
W1 W 0.000 0.000 0.000
# Uncorrected energy ... -6.08 eV/atom
# Energy above the most stable polymorph in this dataset ... 32.7 kJ per mole of atoms
# Raw formation energy ... 0.79 eV per atom


# GGA-PBEsol Sb3W, relaxed
data_Sb3W
_chemical_formula_sum 'Sb3 W1'
_space_group_name_H-M_alt 'P 4/m m m'
_space_group_IT_number 123
_space_group_name_Hall '-P 4 2'
_cell_length_a 5.033
_cell_length_b 5.033
_cell_length_c 3.415
_cell_angle_alpha 90.00
_cell_angle_beta 90.00
_cell_angle_gamma 90.00
loop_
_atom_site_label
_atom_site_type_symbol
_atom_site_fract_x
_atom_site_fract_y
_atom_site_fract_z
Sb1 Sb 0.000 0.000 0.000
Sb2 Sb 0.000 0.500 0.500
W1 W 0.500 0.500 0.000
# Uncorrected energy ... -6.03 eV/atom
# Energy above the most stable polymorph in this dataset ... 37.5 kJ per mole of atoms
# Raw formation energy ... 0.84 eV per atom


# GGA-PBEsol YSb2W, relaxed
data_YSb2W
_chemical_formula_sum 'Y2 Sb4 W2'
_space_group_name_H-M_alt 'I m m m'
_space_group_IT_number 71
_space_group_name_Hall '-I 2 2'
_cell_length_a 3.459
_cell_length_b 5.568
_cell_length_c 9.467
_cell_angle_alpha 90.00
_cell_angle_beta 90.00
_cell_angle_gamma 90.00
loop_
_atom_site_label
_atom_site_type_symbol
_atom_site_fract_x
_atom_site_fract_y
_atom_site_fract_z
Y1 Y 0.000 0.000 0.000
Sb1 Sb 0.000 0.500 0.219
W1 W 0.000 0.000 0.500
# Uncorrected energy ... -7.34 eV/atom
# Energy above the most stable polymorph in this dataset ... 12.1 kJ per mole of atoms
# Raw formation energy ... 0.09 eV per atom


Question: Number 2 is which compound?
Answer: Sb3W


Question: Which formula does entry 3 have?
Answer: YSb2W